# 1
A geometry-optimized YMgCd2 structure. Source: Alexandria, functional PBE-GGA.

Calculated values
* electronic total energy: -2.6782 eV per atom
* space-group type: Pm, No. 6
* formation energy: -0.82 eV per formula unit
* calculated volume: 98.33 Å³/cell

The structure in CIF format:
```
data_YMgCd2
_cell_length_a 3.4228
_cell_length_b 4.8549
_cell_length_c 6.1462
_cell_angle_alpha 90.00
_cell_angle_beta 105.69
_cell_angle_gamma 90.00
_symmetry_space_group_name_H-M 'P 1'
_symmetry_Int_Tables_number 1
_symmetry_space_group_name_Hall 'P 1'
loop_
_atom_site_label
_atom_site_type_symbol
_atom_site_fract_x
_atom_site_fract_y
_atom_site_fract_z
Y1 Y 0.0000 0.0000 0.0000
Mg1 Mg 0.3287 0.5000 0.6605
Cd1 Cd 0.5945 0.5000 0.1943
Cd2 Cd 0.7296 0.0000 0.4767
```

# 2
A geometry-optimized Y2MgSb structure. Source: Alexandria, functional PBE-GGA.

Calculated values
* electronic total energy: -5.1746 eV per atom
* space-group type: Imm2, No. 44
* calculated volume: 108.37 Å³/cell
* energy above the lowest structure with this stoichiometry: 81 meV per atom
* uncorrected formation energy: -198 kJ/mol of formula units

The structure in CIF format:
```
data_Y2MgSb
_cell_length_a 6.2987
_cell_length_b 6.2987
_cell_length_c 6.2987
_cell_angle_alpha 141.26
_cell_angle_beta 135.56
_cell_angle_gamma 60.40
_symmetry_space_group_name_H-M 'P 1'
_symmetry_Int_Tables_number 1
_symmetry_space_group_name_Hall 'P 1'
loop_
_atom_site_label
_atom_site_type_symbol
_atom_site_fract_x
_atom_site_fract_y
_atom_site_fract_z
Y1 Y 0.0000 0.0000 0.0000
Y2 Y 0.7392 0.2392 0.5000
Mg1 Mg 0.2666 0.7666 0.5000
Sb1 Sb 0.4838 0.4838 0.0000
```

# 3
A geometry-optimized HfReBr3 structure. Source: Alexandria, functional PBE-GGA.

Calculated values
* electronic total energy: -4.7751 eV per atom
* space-group type: Pm-3m, No. 221
* calculated volume: 148.71 Å³/cell
* energy above the lowest structure with this stoichiometry: 0 meV per atom
* uncorrected formation energy: 342 kJ/mol of formula units

The structure in CIF format:
```
data_HfReBr3
_cell_length_a 5.2980
_cell_length_b 5.2980
_cell_length_c 5.2980
_cell_angle_alpha 90.00
_cell_angle_beta 90.00
_cell_angle_gamma 90.00
_symmetry_space_group_name_H-M 'P 1'
_symmetry_Int_Tables_number 1
_symmetry_space_group_name_Hall 'P 1'
loop_
_atom_site_label
_atom_site_type_symbol
_atom_site_fract_x
_atom_site_fract_y
_atom_site_fract_z
Hf1 Hf 0.0000 0.0000 0.0000
Re1 Re 0.5000 0.5000 0.5000
Br1 Br 0.0000 0.0000 0.5000
Br2 Br 0.0000 0.5000 0.0000
Br3 Br 0.5000 0.0000 0.0000
```

# 4
A geometry-optimized Mg2ScSnC structure. Source: Alexandria, functional PBE-GGA.

Calculated values
* electronic total energy: -3.0743 eV per atom
* space-group type: P4/mmm, No. 123
* formation energy: 7.38 eV per formula unit
* calculated volume: 145.20 Å³/cell
* energy above the lowest structure with this stoichiometry: 1717 meV per atom

The structure in CIF format:
```
data_Mg2ScSnC
_cell_length_a 5.1369
_cell_length_b 5.1369
_cell_length_c 5.5027
_cell_angle_alpha 90.00
_cell_angle_beta 90.00
_cell_angle_gamma 90.00
_symmetry_space_group_name_H-M 'P 1'
_symmetry_Int_Tables_number 1
_symmetry_space_group_name_Hall 'P 1'
loop_
_atom_site_label
_atom_site_type_symbol
_atom_site_fract_x
_atom_site_fract_y
_atom_site_fract_z
Mg1 Mg 0.0000 0.5000 0.0000
Mg2 Mg 0.5000 0.0000 0.0000
Sc1 Sc 0.0000 0.0000 0.5000
Sn1 Sn 0.0000 0.0000 0.0000
C1 C 0.5000 0.5000 0.5000
```

# 5
A geometry-optimized BaHf2Sb2 structure. Source: Alexandria, functional PBE-GGA.

Calculated values
* electronic total energy: -6.5812 eV per atom
* space-group type: I4/mmm, No. 139
* calculated volume: 147.77 Å³/cell
* energy above the lowest structure with this stoichiometry: 0 meV per atom
* uncorrected formation energy: -273 kJ/mol of formula units

The structure in CIF format:
```
data_BaHf2Sb2
_cell_length_a 8.0230
_cell_length_b 8.0230
_cell_length_c 8.0230
_cell_angle_alpha 147.60
_cell_angle_beta 147.60
_cell_angle_gamma 46.48
_symmetry_space_group_name_H-M 'P 1'
_symmetry_Int_Tables_number 1
_symmetry_space_group_name_Hall 'P 1'
loop_
_atom_site_label
_atom_site_type_symbol
_atom_site_fract_x
_atom_site_fract_y
_atom_site_fract_z
Ba1 Ba 0.0000 0.0000 0.0000
Hf1 Hf 0.2500 0.7500 0.5000
Hf2 Hf 0.7500 0.2500 0.5000
Sb1 Sb 0.3779 0.3779 0.0000
Sb2 Sb 0.6221 0.6221 0.0000
```

# 6
A geometry-optimized CsBa2MnBr8 structure. Source: Alexandria, functional PBE-GGA.

Calculated values
* electronic total energy: -3.8401 eV per atom
* space-group type: P-1, No. 2
* calculated volume: 450.49 Å³/cell
* uncorrected formation energy: -1817 kJ/mol of formula units

The structure in CIF format:
```
data_CsBa2MnBr8
_cell_length_a 6.1978
_cell_length_b 7.7575
_cell_length_c 10.1482
_cell_angle_alpha 90.20
_cell_angle_beta 90.54
_cell_angle_gamma 112.58
_symmetry_space_group_name_H-M 'P 1'
_symmetry_Int_Tables_number 1
_symmetry_space_group_name_Hall 'P 1'
loop_
_atom_site_label
_atom_site_type_symbol
_atom_site_fract_x
_atom_site_fract_y
_atom_site_fract_z
Cs1 Cs 0.0000 0.0000 0.0000
Ba1 Ba 0.4241 0.5406 0.7471
Ba2 Ba 0.5759 0.4594 0.2529
Mn1 Mn 0.0000 0.0000 0.5000
Br1 Br 0.0093 0.7249 0.6967
Br2 Br 0.0837 0.8251 0.3189
Br3 Br 0.4006 0.6991 0.0390
Br4 Br 0.4179 0.2028 0.5274
Br5 Br 0.5821 0.7972 0.4726
Br6 Br 0.5994 0.3009 0.9610
Br7 Br 0.9163 0.1749 0.6811
Br8 Br 0.9907 0.2751 0.3033
```

# 7
A geometry-optimized Nd3Ho4Ag4 structure. Source: Alexandria, functional PBE-GGA.

Calculated values
* electronic total energy: -4.1264 eV per atom
* space-group type: Immm, No. 71
* formation energy: -1.37 eV per formula unit
* calculated volume: 306.87 Å³/cell

The structure in CIF format:
```
data_Nd3Ho4Ag4
_cell_length_a 9.1761
_cell_length_b 9.1761
_cell_length_c 9.1761
_cell_angle_alpha 148.15
_cell_angle_beta 130.60
_cell_angle_gamma 59.99
_symmetry_space_group_name_H-M 'P 1'
_symmetry_Int_Tables_number 1
_symmetry_space_group_name_Hall 'P 1'
loop_
_atom_site_label
_atom_site_type_symbol
_atom_site_fract_x
_atom_site_fract_y
_atom_site_fract_z
Nd1 Nd 0.0000 0.0000 0.0000
Nd2 Nd 0.3936 0.8936 0.5000
Nd3 Nd 0.6063 0.1064 0.5000
Ho1 Ho 0.0431 0.3249 0.7182
Ho2 Ho 0.3933 0.6751 0.7182
Ho3 Ho 0.6067 0.3249 0.2818
Ho4 Ho 0.9569 0.6751 0.2818
Ag1 Ag 0.2017 0.2017 0.0000
Ag2 Ag 0.3136 0.5000 0.8136
Ag3 Ag 0.6864 0.5000 0.1864
Ag4 Ag 0.7983 0.7983 0.0000
```

# 8
A geometry-optimized La8SiOs3Br4 structure. Source: Alexandria, functional PBE-GGA.

Calculated values
* electronic total energy: -6.2314 eV per atom
* space-group type: R-3m, No. 166
* calculated volume: 489.03 Å³/cell
* uncorrected formation energy: -1397 kJ/mol of formula units

The structure in CIF format:
```
data_La8SiOs3Br4
_cell_length_a 9.2071
_cell_length_b 9.2071
_cell_length_c 9.2071
_cell_angle_alpha 55.10
_cell_angle_beta 55.10
_cell_angle_gamma 55.10
_symmetry_space_group_name_H-M 'P 1'
_symmetry_Int_Tables_number 1
_symmetry_space_group_name_Hall 'P 1'
loop_
_atom_site_label
_atom_site_type_symbol
_atom_site_fract_x
_atom_site_fract_y
_atom_site_fract_z
La1 La 0.2163 0.7387 0.7388
La2 La 0.2353 0.2353 0.2353
La3 La 0.2612 0.2613 0.7837
La4 La 0.2612 0.7837 0.2612
La5 La 0.7387 0.2163 0.7387
La6 La 0.7387 0.7387 0.2163
La7 La 0.7647 0.7647 0.7647
La8 La 0.7837 0.2613 0.2613
Si1 Si 0.5000 0.5000 0.5000
Os1 Os 0.0000 0.0000 0.5000
Os2 Os 0.0000 0.5000 0.0000
Os3 Os 0.5000 0.0000 0.0000
Br1 Br 0.0000 0.0000 0.0000
Br2 Br 0.0000 0.5000 0.5000
Br3 Br 0.5000 0.0000 0.5000
Br4 Br 0.5000 0.5000 0.0000
```